1.
A plane-wave DFT calculation with GGA-PBE was carried out for a relaxed structure of Zn2CrAs2.

Output
Calculated formation energy   0.178 eV per atom
E above lowest polymorph   0 meV per atom
Size of the total moment   2.09 μB/f.u.
E_tot   -41.16 eV per cell
Symmetry   P4/mbm

```
10
Lattice="-1.1353 0.9779 6.2201 -3.9342 -5.0450 0.0751 3.2349 -2.5080 0.9847" Properties=species:S:1:pos:R:3 pbc="T T T"
Cr 0.0000 0.0000 0.0000
Cr -2.5348 -2.0335 3.1476
As -3.7675 -3.9669 2.2732
As -3.5078 -2.4170 5.3675
As -1.3020 -0.1002 4.0219
As -1.5617 -1.6500 0.9277
Zn -1.2930 -4.5333 1.7013
Zn -2.3636 -4.6893 4.8210
Zn -0.5416 -2.0418 5.5786
Zn 0.5290 -1.8858 2.4589
```

2.
A plane-wave DFT calculation with GGA-PBE was carried out for a relaxed structure of CaLa4Tc.

Output
Calculated formation energy   0.013 eV per atom
E above lowest polymorph   0 meV per atom
Size of the total moment   0.00 μB/f.u.
E_tot   -64.00 eV per cell
Symmetry   C2/m

```
12
Lattice="6.9472 0.0000 3.2879 0.5229 6.4128 -1.1049 -0.4130 -1.2623 9.8561" Properties=species:S:1:pos:R:3 pbc="T T T"
Ca 5.5131 0.6566 6.3182
Ca 1.5441 4.4939 5.7209
La 4.9065 4.2757 7.5999
La 4.7119 3.6408 3.6062
La 5.1853 0.0000 2.4541
La 5.8861 1.5097 10.1086
La 2.1507 0.8747 4.4391
La 2.3453 1.5097 8.4328
La 1.7620 0.0000 0.8339
La 1.1711 3.6408 1.9305
Tc 3.7235 2.9561 10.0994
Tc 3.3337 2.1944 1.9396
```

3.
A plane-wave DFT calculation with GGA-PBE was carried out for a relaxed structure of LaPmZrSc.

Output
Calculated formation energy   0.175 eV per atom
Size of the total moment   0.01 μB/f.u.
E_tot   -23.86 eV per cell
Symmetry   F-43m

```
4
Lattice="-0.4847 2.2845 4.9221 3.4289 -1.3912 3.9984 3.7472 3.5539 1.7346" Properties=species:S:1:pos:R:3 pbc="T T T"
Sc 5.0186 3.3353 7.9913
La 3.3457 2.2236 5.3275
Zr 1.6729 1.1118 2.6638
Pm 0.0000 0.0000 0.0000
```

4.
A plane-wave DFT calculation with GGA-PBE was carried out for a relaxed structure of MgTa2P.

Output
Calculated formation energy   -0.057 eV per atom
E above lowest polymorph   42 meV per atom
Size of the total moment   0.00 μB/f.u.
E_tot   -30.94 eV per cell
Symmetry   P4mm

```
4
Lattice="3.4157 0.0000 0.0000 0.0000 3.4157 0.0000 0.0000 0.0000 5.8497" Properties=species:S:1:pos:R:3 pbc="T T T"
Mg 0.0000 0.0000 2.9863
P 1.7078 1.7078 4.4577
Ta 0.0000 0.0000 5.8073
Ta 1.7078 1.7078 1.3730
```

5.
A plane-wave DFT calculation with GGA-PBE was carried out for a relaxed structure of Zr3TcSb.

Output
Formation energy from raw total energies   1.2061 eV/atom
E above lowest polymorph   1000 meV per atom
Size of the total moment   2.27 μB/f.u.
E_tot   -34.10 eV per cell
Symmetry   Pm-3m

```
5
Lattice="5.2210 0.0000 0.0000 0.0000 5.2210 0.0000 0.0000 0.0000 5.2210" Properties=species:S:1:pos:R:3 pbc="T T T"
Sb 0.0000 0.0000 0.0000
Tc 2.6105 2.6105 2.6105
Zr 0.0000 2.6105 0.0000
Zr 0.0000 0.0000 2.6105
Zr 2.6105 0.0000 0.0000
```

6.
A plane-wave DFT calculation with GGA-PBE was carried out for a relaxed structure of Nb5B2Au2.

Output
Calculated formation energy   -0.355 eV per atom
Size of the total moment   0.00 μB/f.u.
E_tot   -146.90 eV per cell
Symmetry   Cmce

```
18
Lattice="-0.2302 0.1950 6.2111 -5.3628 -3.2593 -0.0964 3.6200 -6.0581 3.4373" Properties=species:S:1:pos:R:3 pbc="T T T"
Nb 0.0000 0.0000 0.0000
Nb -2.7965 -1.5321 3.0573
Nb 1.7881 -5.2468 5.3017
Nb -1.7540 -7.2753 7.5443
Nb -0.8636 -6.9016 4.4527
Nb 0.8977 -5.6205 8.3933
Nb -3.7610 -3.8755 4.2503
Nb -0.2189 -1.8470 2.0076
Nb -1.1093 -2.2207 5.0992
Nb -2.8706 -3.5018 1.1587
B -2.1427 -1.2681 0.5946
B -3.4503 -1.7961 5.5200
B -4.8923 -2.8399 2.3865
B -0.7007 -0.2243 3.7282
Au 1.9141 -3.2466 3.2858
Au -0.8824 -4.7787 6.3431
Au 1.4758 -2.6165 6.3626
Au -1.0905 -4.3436 3.2089
```

Q: The highest E_tot belongs to which entry?
A: LaPmZrSc